The following is a PBE calculation of a relaxed Cs2Li2PbCl6 crystal, from Alexandria via LeMat-Bulk.

Geometry as CIF:
```
data_Cs2Li2PbCl6
_cell_length_a 7.7300
_cell_length_b 7.7300
_cell_length_c 22.1563
_cell_angle_alpha 90.00
_cell_angle_beta 90.00
_cell_angle_gamma 120.00
_space_group_name_H-M_alt 'R -3 m'
_space_group_IT_number 166
_space_group_name_Hall '-R 3 2"'
loop_
_atom_site_label
_atom_site_type_symbol
_atom_site_fract_x
_atom_site_fract_y
_atom_site_fract_z
Cs1 Cs 0.0000 0.0000 0.2154
Li1 Li 0.0000 0.0000 0.4174
Pb1 Pb 0.0000 0.0000 0.0000
Cl1 Cl 0.0047 0.5024 0.7524
```

DFT total energy (eV for the cell shown): -116.222
Raw formation energy (eV/atom): -1.674
Size of the total moment (μB per formula unit): 0.00